## AcAlSi2Ni5 (PBE-GGA)

Data for a relaxed structure of AcAlSi2Ni5.

abc: 3.9593 3.9593 9.4393
angles: 90.00 90.00 90.00
With the nearest neighbours (Å) after each atom.
Sites, in units of the cell vectors:
Ni (0.0000, 0.5000, 0.1466)  2 Si 2.27, 2 Al 2.42
Ni (0.5000, 0.0000, 0.1466)  2 Si 2.27, 2 Al 2.42
Al (0.0000, 0.0000, 0.0000)  8 Ni 2.42
Ni (0.5000, 0.5000, 0.5000)  2 Si 2.23
Ni (0.0000, 0.5000, 0.8534)  2 Si 2.27, 2 Al 2.42
Si (0.5000, 0.5000, 0.7362)  5 Ni 2.23-2.27
Ac (0.0000, 0.0000, 0.5000)  4 Ni 2.80
Si (0.5000, 0.5000, 0.2638)  5 Ni 2.23-2.27
Ni (0.5000, 0.0000, 0.8534)  2 Si 2.27, 2 Al 2.42

**Final energy**: -5.618 eV/atom
**Mass density**: 6.77 g cm⁻³
**Total magnetic moment**: 0.00 μB/f.u.
**SG**: P4/mmm, No. 123



## PtRh2Cl (PBE-GGA)

Data for a relaxed structure of PtRh2Cl.

abc: 2.8126 2.8126 9.3171
angles: 90.00 90.00 121.16
With the nearest neighbours (Å) after each atom.
Sites, in units of the cell vectors:
Rh (0.0000, 0.0000, 0.0130)  8 Rh 2.62-2.81, 2 Pt 2.72
Rh (0.5000, 0.5000, 0.2521)  2 Cl 2.48, 4 Rh 2.62-2.76
Cl (0.0000, 0.0000, 0.4730)  2 Rh 2.48, 2 Cl 2.76
Pt (0.5000, 0.5000, 0.7619)  2 Rh 2.72, 6 Pt 2.76-2.81, 2 Cl 3.03

**Mass density**: 11.49 g cm⁻³
**Total magnetic moment**: 0.00 μB/f.u.
**ΔE to the lowest computed polymorph**: 150 meV per atom
**SG**: Cmm2, No. 35



## Y3Tl5 (PBE-GGA)

Data for a relaxed structure of Y3Tl5.

abc: 9.0681 9.0681 9.0699
angles: 96.65 96.65 140.09
With the nearest neighbours (Å) after each atom.
Sites, in units of the cell vectors:
Y (0.6708, 0.8294, 0.5000)  6 Tl 3.11-3.30
Tl (0.0767, 0.2298, 0.3074)  4 Y 3.11-3.31, 1 Tl 3.29
Tl (0.9226, 0.7706, 0.6923)  4 Y 3.11-3.31, 1 Tl 3.28
Y (0.3288, 0.1715, 0.5000)  6 Tl 3.11-3.30
Y (0.2501, 0.2495, 0.0000)  2 Y 3.09-3.10, 8 Tl 3.31-3.32
Y (0.8291, 0.3297, 0.1576)  6 Tl 3.12-3.31
Tl (0.4217, 0.7293, 0.1525)  4 Y 3.12-3.32, 1 Tl 3.28
Y (0.1693, 0.6699, 0.8424)  6 Tl 3.12-3.31
Tl (0.5771, 0.2699, 0.8470)  4 Y 3.12-3.32, 1 Tl 3.28
Y (0.7495, 0.7502, 0.0000)  2 Y 3.09-3.10, 8 Tl 3.31-3.32
Tl (0.7294, 0.5774, 0.3077)  4 Y 3.11-3.31, 1 Tl 3.28
Tl (0.2500, 0.7506, 0.5010)  2 Tl 3.09-3.10, 4 Y 3.30-3.31
Tl (0.7489, 0.2495, 0.4991)  2 Tl 3.09-3.10, 4 Y 3.30-3.31
Tl (0.2701, 0.4233, 0.6926)  4 Y 3.11-3.31, 1 Tl 3.29
Tl (0.2294, 0.9221, 0.1530)  4 Y 3.12-3.31, 1 Tl 3.28
Tl (0.7699, 0.0776, 0.8475)  4 Y 3.12-3.32, 1 Tl 3.28

**Mass density**: 9.51 g cm⁻³
**Total magnetic moment**: 0.00 μB/f.u.
**Formation enthalpy at 0 K**: -0.20 eV/atom
**ΔE to the lowest computed polymorph**: 119 meV per atom
**SG**: C2, No. 5



## EuGa3Tc (PBE-GGA)

Data for a relaxed structure of EuGa3Tc.

abc: 4.8360 4.8360 4.8360
angles: 90.00 90.00 90.00
With the nearest neighbours (Å) after each atom.
Sites, in units of the cell vectors:
Ga (0.5000, 0.0000, 0.0000)  2 Tc 2.42
Eu (0.5000, 0.5000, 0.5000)  12 Ga 3.42
Tc (0.0000, 0.0000, 0.0000)  6 Ga 2.42
Ga (0.0000, 0.5000, 0.0000)  2 Tc 2.42
Ga (0.0000, 0.0000, 0.5000)  2 Tc 2.42

**Mass density**: 6.74 g cm⁻³
**Total magnetic moment**: 7.16 μB/f.u.
**Formation enthalpy at 0 K**: -0.36 eV/atom
**SG**: Pm-3m, No. 221



Please write out number 4 again, unchanged.
## EuGa3Tc (PBE-GGA)

Data for a relaxed structure of EuGa3Tc.

abc: 4.8360 4.8360 4.8360
angles: 90.00 90.00 90.00
With the nearest neighbours (Å) after each atom.
Sites, in units of the cell vectors:
Ga (0.5000, 0.0000, 0.0000)  2 Tc 2.42
Eu (0.5000, 0.5000, 0.5000)  12 Ga 3.42
Tc (0.0000, 0.0000, 0.0000)  6 Ga 2.42
Ga (0.0000, 0.5000, 0.0000)  2 Tc 2.42
Ga (0.0000, 0.0000, 0.5000)  2 Tc 2.42

**Mass density**: 6.74 g cm⁻³
**Total magnetic moment**: 7.16 μB/f.u.
**Formation enthalpy at 0 K**: -0.36 eV/atom
**SG**: Pm-3m, No. 221



The highest mass density belongs to which entry?
PtRh2Cl



What is the mass density in the first record?
6.77 g cm⁻³



Number 1 is which compound?
AcAlSi2Ni5